Arrangement A

First-principles (PBE) data for Fe3PdS after structural relaxation, as listed in Alexandria via LeMat-Bulk.

Lattice parameters (Å, degrees): 4.1568 4.1568 4.1568 90.00 90.00 90.00
With the nearest neighbours (Å) after each atom.
Element x y z (fractional)
Fe  0.0000  0.0000  0.5000  2 S 2.08
Fe  0.0000  0.5000  0.0000  2 S 2.08
Fe  0.5000  0.0000  0.0000  2 S 2.08
Pd  0.5000  0.5000  0.5000  12 Fe 2.94
S  0.0000  0.0000  0.0000  6 Fe 2.08

Computed properties:
* density of states at the Fermi level: 6.0 states/eV/cell
* magnetic moment: 7.5 μB/cell



Arrangement B

First-principles (PBE) data for Fe3PdS after structural relaxation, as listed in Alexandria via LeMat-Bulk.

Lattice parameters (Å, degrees): 4.6434 4.6434 4.6434 90.00 90.00 90.00
With the nearest neighbours (Å) after each atom.
Element x y z (fractional)
Fe  0.0000  0.0000  0.5000  2 Pd 2.32
Fe  0.0000  0.5000  0.0000  2 Pd 2.32
Fe  0.5000  0.0000  0.0000  2 Pd 2.32
Pd  0.0000  0.0000  0.0000  6 Fe 2.32
S  0.5000  0.5000  0.5000  12 Fe 3.28

Computed properties:
* density of states at the Fermi level: 6.3 states/eV/cell
* magnetic moment: 10.1 μB/cell



Stability check: which of them is least stable? arrangement B.



Arrangement A

First-principles (PBE) data for FePdSe2 after structural relaxation, as listed in Alexandria via LeMat-Bulk.

Lattice parameters (Å, degrees): 4.4364 4.4364 4.4364 60.00 60.00 60.00
With the nearest neighbours (Å) after each atom.
Element x y z (fractional)
Fe  0.0000  0.0000  0.0000  8 Se 2.72
Pd  0.5000  0.5000  0.5000  8 Se 2.72
Se  0.2500  0.2500  0.2500  4 Fe 2.72, 4 Pd 2.72
Se  0.7500  0.7500  0.7500  4 Pd 2.72, 4 Fe 2.72

Computed properties:
* density of states at the Fermi level: 3.9 states/eV/cell
* magnetic moment: 0.0 μB/cell



Arrangement B

First-principles (PBE) data for FePdSe2 after structural relaxation, as listed in Alexandria via LeMat-Bulk.

Lattice parameters (Å, degrees): 6.6117 6.6117 6.6117 130.21 130.21 73.07
With the nearest neighbours (Å) after each atom.
Element x y z (fractional)
Fe  0.0000  0.0000  0.0000  4 Se 2.26
Fe  0.7500  0.2500  0.5000  4 Se 2.26
Pd  0.2500  0.7500  0.5000  4 Se 2.50
Pd  0.5000  0.5000  0.0000  4 Se 2.50
Se  0.0873  0.6250  0.9623  2 Fe 2.26, 2 Pd 2.50
Se  0.3750  0.3373  0.4623  2 Fe 2.26, 2 Pd 2.50
Se  0.6627  0.1250  0.0377  2 Fe 2.26, 2 Pd 2.50
Se  0.8750  0.9127  0.5377  2 Fe 2.26, 2 Pd 2.50

Computed properties:
* density of states at the Fermi level: 6.7 states/eV/cell
* magnetic moment: 0.0 μB/cell



Stability check: which of them is least stable? arrangement A.



Arrangement A

First-principles (PBE) data for Fe3PdSe after structural relaxation, as listed in Alexandria via LeMat-Bulk.

Lattice parameters (Å, degrees): 4.3708 4.3708 4.3708 90.00 90.00 90.00
With the nearest neighbours (Å) after each atom.
Element x y z (fractional)
Fe  0.0000  0.0000  0.5000  2 Se 2.19
Fe  0.0000  0.5000  0.0000  2 Se 2.19
Fe  0.5000  0.0000  0.0000  2 Se 2.19
Pd  0.5000  0.5000  0.5000  12 Fe 3.09
Se  0.0000  0.0000  0.0000  6 Fe 2.19

Computed properties:
* density of states at the Fermi level: 14.8 states/eV/cell
* magnetic moment: 7.9 μB/cell



Arrangement B

First-principles (PBE) data for Fe3PdSe after structural relaxation, as listed in Alexandria via LeMat-Bulk.

Lattice parameters (Å, degrees): 4.6581 4.6581 4.6581 90.00 90.00 90.00
With the nearest neighbours (Å) after each atom.
Element x y z (fractional)
Fe  0.0000  0.0000  0.5000  2 Pd 2.33
Fe  0.0000  0.5000  0.0000  2 Pd 2.33
Fe  0.5000  0.0000  0.0000  2 Pd 2.33
Pd  0.0000  0.0000  0.0000  6 Fe 2.33
Se  0.5000  0.5000  0.5000  12 Fe 3.29

Computed properties:
* density of states at the Fermi level: 6.5 states/eV/cell
* magnetic moment: 10.0 μB/cell



Stability check: which of them is least stable? arrangement B.



Arrangement A

First-principles (PBE) data for SrFe2PdSe after structural relaxation, as listed in Alexandria via LeMat-Bulk.

Lattice parameters (Å, degrees): 4.5362 4.5362 4.9438 90.00 90.00 90.00
With the nearest neighbours (Å) after each atom.
Element x y z (fractional)
Sr  0.0000  0.0000  0.0000  4 Pd 3.21, 8 Fe 3.35
Fe  0.0000  0.5000  0.5000  2 Se 2.27
Fe  0.5000  0.0000  0.5000  2 Se 2.27
Pd  0.5000  0.5000  0.0000  2 Se 2.47
Se  0.5000  0.5000  0.5000  4 Fe 2.27, 2 Pd 2.47

Computed properties:
* density of states at the Fermi level: 2.7 states/eV/cell
* magnetic moment: 4.1 μB/cell



Arrangement B

First-principles (PBE) data for SrFe2PdSe after structural relaxation, as listed in Alexandria via LeMat-Bulk.

Lattice parameters (Å, degrees): 4.6932 4.6932 5.9392 90.00 90.00 90.00
With the nearest neighbours (Å) after each atom.
Element x y z (fractional)
Sr  0.0000  0.0000  0.0000  2 Pd 2.97, 4 Se 3.32
Fe  0.0000  0.5000  0.5000  2 Pd 2.35
Fe  0.5000  0.0000  0.5000  2 Pd 2.35
Pd  0.0000  0.0000  0.5000  4 Fe 2.35
Se  0.5000  0.5000  0.0000  4 Sr 3.32

Computed properties:
* density of states at the Fermi level: 9.0 states/eV/cell
* magnetic moment: 7.1 μB/cell



Stability check: which of them is least stable? arrangement B.



Arrangement A

First-principles (PBE) data for FeSi2Pd after structural relaxation, as listed in Alexandria via LeMat-Bulk.

Lattice parameters (Å, degrees): 8.3600 8.3600 8.3600 153.50 153.50 37.82
With the nearest neighbours (Å) after each atom.
Element x y z (fractional)
Fe  0.0000  0.0000  0.0000  4 Si 2.35
Fe  0.7500  0.2500  0.5000  4 Si 2.35
Si  0.0934  0.6250  0.9684  2 Fe 2.35, 2 Pd 2.45, 2 Si 2.54
Si  0.3750  0.3434  0.4684  2 Fe 2.35, 2 Pd 2.45, 2 Si 2.54
Si  0.6566  0.1250  0.0316  2 Fe 2.35, 2 Pd 2.45, 2 Si 2.54
Si  0.8750  0.9066  0.5316  2 Fe 2.35, 2 Pd 2.45, 2 Si 2.54
Pd  0.2500  0.7500  0.5000  4 Si 2.45, 4 Fe 2.71
Pd  0.5000  0.5000  0.0000  4 Si 2.45, 4 Fe 2.71

Computed properties:
* density of states at the Fermi level: 6.6 states/eV/cell
* magnetic moment: 3.5 μB/cell



Arrangement B

First-principles (PBE) data for FeSi2Pd after structural relaxation, as listed in Alexandria via LeMat-Bulk.

Lattice parameters (Å, degrees): 4.1668 4.1668 4.1668 60.00 60.00 60.00
With the nearest neighbours (Å) after each atom.
Element x y z (fractional)
Fe  0.0000  0.0000  0.0000  8 Si 2.55
Si  0.2500  0.2500  0.2500  4 Fe 2.55, 4 Pd 2.55
Si  0.7500  0.7500  0.7500  4 Pd 2.55, 4 Fe 2.55
Pd  0.5000  0.5000  0.5000  8 Si 2.55

Computed properties:
* density of states at the Fermi level: 1.8 states/eV/cell
* magnetic moment: 1.8 μB/cell



Stability check: which of them is least stable? arrangement A.



Arrangement A

First-principles (PBE) data for FeSiPd3 after structural relaxation, as listed in Alexandria via LeMat-Bulk.

Lattice parameters (Å, degrees): 4.5908 4.5908 4.5908 90.00 90.00 90.00
With the nearest neighbours (Å) after each atom.
Element x y z (fractional)
Fe  0.0000  0.0000  0.0000  6 Pd 2.30
Si  0.5000  0.5000  0.5000  12 Pd 3.25
Pd  0.0000  0.0000  0.5000  2 Fe 2.30
Pd  0.0000  0.5000  0.0000  2 Fe 2.30
Pd  0.5000  0.0000  0.0000  2 Fe 2.30

Computed properties:
* density of states at the Fermi level: 4.1 states/eV/cell
* magnetic moment: 4.2 μB/cell



Arrangement B

First-principles (PBE) data for FeSiPd3 after structural relaxation, as listed in Alexandria via LeMat-Bulk.

Lattice parameters (Å, degrees): 4.4734 4.4734 4.4734 90.00 90.00 90.00
With the nearest neighbours (Å) after each atom.
Element x y z (fractional)
Fe  0.0000  0.0000  0.0000  12 Pd 3.16
Si  0.5000  0.5000  0.5000  6 Pd 2.24
Pd  0.0000  0.5000  0.5000  2 Si 2.24
Pd  0.5000  0.0000  0.5000  2 Si 2.24
Pd  0.5000  0.5000  0.0000  2 Si 2.24

Computed properties:
* density of states at the Fermi level: 4.7 states/eV/cell
* magnetic moment: 3.5 μB/cell



Stability check: which of them is least stable? arrangement A.